[1]
The following is a DFT calculation (PBE-GGA) of a geometry-optimized LiLaSc structure.

Geometry as POSCAR:
```
LiLaSc
1.0
0.000 3.544 3.544
3.544 0.000 3.544
3.544 3.544 0.000
Li La Sc
1 1 1
Direct
0.000 0.000 0.000
0.250 0.250 0.250
0.750 0.750 0.750
```

Summary:
The total energy comes out at -3.878 eV per atom. The value obtained for the density of states at the Fermi level is 1.789 states/eV per atom. The polymorph energy (0 for the lowest one) comes out at 409 meV/atom. Its formation energy is 50 kJ/mol of atoms.

[2]
The following is a DFT calculation (PBE-GGA) of a geometry-optimized LiLaSc2 structure.

Geometry as POSCAR:
```
LiLaSc2
1.0
3.348 0.000 0.000
0.000 5.064 0.000
-1.665 0.000 6.286
Li La Sc
1 1 2
Direct
0.000 0.000 0.000
0.388 0.500 0.762
0.142 0.500 0.256
0.737 0.000 0.453
```

Summary:
The total energy comes out at -4.705 eV per atom. The value obtained for the density of states at the Fermi level is 1.636 states/eV per atom. The polymorph energy (0 for the lowest one) comes out at 58 meV/atom. Its formation energy is 17 kJ/mol of atoms.

[3]
The following is a DFT calculation (PBE-GGA) of a geometry-optimized LiLaSc2 structure.

Geometry as POSCAR:
```
LiLaSc2
1.0
3.586 0.000 0.000
0.000 5.406 0.000
0.000 0.000 5.410
Li La Sc
1 1 2
Direct
0.000 0.000 0.000
0.500 0.000 0.500
0.000 0.500 0.500
0.500 0.500 0.000
```

Summary:
The total energy comes out at -4.722 eV per atom. The value obtained for the density of states at the Fermi level is 1.390 states/eV per atom. The polymorph energy (0 for the lowest one) comes out at 41 meV/atom. Its formation energy is 15 kJ/mol of atoms.